DFT (PBE) results for an optimized crystal structure of Tb4Ga2Hg.

a b c (Å): 8.7400 8.7400 8.7400
angles (deg): 33.93 33.93 33.93
Last column: nearest neighbours and their distance in Å.
Fractional coordinates of all 7 atoms:
1 Tb 0.1181 0.1181 0.1181  4 Ga 3.07-3.25, 3 Hg 3.18
2 Tb 0.3704 0.3704 0.3704  4 Ga 2.98-3.16, 1 Hg 3.20
3 Tb 0.6296 0.6296 0.6296  4 Ga 2.98-3.16, 1 Hg 3.20
4 Tb 0.8819 0.8819 0.8819  4 Ga 3.07-3.25, 3 Hg 3.18
5 Ga 0.2498 0.2498 0.2498  8 Tb 2.98-3.25
6 Ga 0.7502 0.7502 0.7502  8 Tb 2.98-3.25
7 Hg 0.5000 0.5000 0.5000  8 Tb 3.18-3.20

## Properties
As for the crystal system: trigonal.

DFT (PBE) results for an optimized crystal structure of Tb2GaHg3.

a b c (Å): 9.6303 9.0772 5.9650
angles (deg): 76.52 66.44 37.04
Last column: nearest neighbours and their distance in Å.
Fractional coordinates of all 12 atoms:
1 Tb 0.2449 0.7551 0.7551  10 Hg 3.27-3.35, 2 Ga 3.32, 2 Tb 3.48-3.62
2 Tb 0.2500 0.2500 0.2500  8 Hg 3.26-3.28, 4 Ga 3.29, 2 Tb 3.55
3 Tb 0.7500 0.7500 0.7500  8 Hg 3.26-3.28, 4 Ga 3.29, 2 Tb 3.55
4 Tb 0.7551 0.2449 0.2449  10 Hg 3.27-3.35, 2 Ga 3.32, 2 Tb 3.48-3.62
5 Ga 0.3335 0.3335 0.6665  3 Hg 2.69-2.71
6 Ga 0.6665 0.6665 0.3335  3 Hg 2.69-2.71
7 Hg 0.1712 0.1712 0.8288  1 Ga 2.71, 2 Hg 2.86
8 Hg 0.1723 0.6571 0.3429  1 Ga 2.69, 2 Hg 2.85-2.86
9 Hg 0.3429 0.8277 0.1723  1 Ga 2.69, 2 Hg 2.85-2.86
10 Hg 0.6571 0.1723 0.8277  1 Ga 2.69, 2 Hg 2.85-2.86
11 Hg 0.8277 0.3429 0.6571  1 Ga 2.69, 2 Hg 2.85-2.86
12 Hg 0.8288 0.8288 0.1712  1 Ga 2.71, 2 Hg 2.86

## Properties
As for the crystal system: orthorhombic.

DFT (PBE) results for an optimized crystal structure of Tb8GaHg2.

a b c (Å): 8.7858 8.7858 8.7858
angles (deg): 146.64 122.63 68.01
Last column: nearest neighbours and their distance in Å.
Fractional coordinates of all 11 atoms:
1 Tb 0.1171 0.3417 0.7754  3 Hg 3.12-3.21, 1 Ga 3.27, 4 Tb 3.43-3.45
2 Tb 0.1306 0.1306 0.0000  2 Ga 3.16, 6 Tb 3.28-3.45, 2 Hg 3.54
3 Tb 0.3163 0.0000 0.3163  7 Tb 3.10-3.43, 2 Hg 3.29
4 Tb 0.4337 0.6583 0.7754  3 Hg 3.12-3.21, 1 Ga 3.27, 4 Tb 3.43-3.45
5 Tb 0.5663 0.3417 0.2246  3 Hg 3.12-3.21, 1 Ga 3.27, 4 Tb 3.43-3.45
6 Tb 0.6837 0.0000 0.6837  7 Tb 3.10-3.43, 2 Hg 3.29
7 Tb 0.8694 0.8694 0.0000  2 Ga 3.16, 6 Tb 3.28-3.45, 2 Hg 3.54
8 Tb 0.8829 0.6583 0.2246  3 Hg 3.12-3.21, 1 Ga 3.27, 4 Tb 3.43-3.45
9 Ga 0.0000 0.5000 0.5000  8 Tb 3.16-3.27
10 Hg 0.3010 0.8010 0.5000  8 Tb 3.12-3.29
11 Hg 0.6990 0.1990 0.5000  8 Tb 3.12-3.29

## Properties
As for the crystal system: orthorhombic.

Record-wise energy values, in eV per atom: -3.967, -2.637, -3.887